ThMg3Zn2 PBE relaxed; formation energy = -0.120 eV per atom; SG = No. 12
1.0
-2.177 3.863 -0.932
5.584 -1.104 -6.601
-7.000 -3.963 -0.078
Th Mg Zn
2 6 4
direct
0.142 0.283 0.221
0.858 0.717 0.779
0.690 0.379 0.926
0.049 0.098 0.720
0.392 0.784 0.498
0.608 0.216 0.502
0.951 0.902 0.280
0.310 0.621 0.074
0.520 0.039 0.876
0.480 0.961 0.124
0.211 0.421 0.678
0.789 0.579 0.322

Ca2CdPb4 PBE relaxed; formation energy = -0.101 eV per atom; SG = No. 139
1.0
-1.875 -5.508 -0.943
0.381 0.867 -5.817
7.098 0.143 3.472
Pb Ca Cd
4 2 1
direct
0.750 0.250 0.500
0.250 0.750 0.500
0.500 0.000 0.000
0.000 0.500 0.000
0.639 0.639 0.278
0.361 0.361 0.722
0.000 0.000 0.000

GaMo PBE relaxed; formation energy = -0.003 eV per atom; SG = No. 74
1.0
3.364 0.000 0.000
0.000 4.305 0.000
0.000 0.000 8.526
Ga Mo
4 4
direct
0.000 0.250 0.624
0.000 0.750 0.376
0.500 0.750 0.124
0.500 0.250 0.876
0.000 0.250 0.130
0.000 0.750 0.870
0.500 0.750 0.630
0.500 0.250 0.370

TlRe2Rh PBE relaxed; formation energy = 0.708 eV per atom; SG = No. 123
1.0
-0.782 3.594 0.888
0.162 -0.873 3.678
4.512 0.974 0.032
Tl Re Rh
1 2 1
direct
0.000 0.000 0.500
0.000 0.500 0.000
0.500 0.000 0.000
0.500 0.500 0.500

Number 1: E -0.095 Ha/atom. Number 2: E -0.107 Ha/atom. Number 3: E -0.255 Ha/atom. Number 4: E -0.292 Ha/atom.